## Er4CuSi3 (PBE-GGA)

Data for crystalline Er4CuSi3 at its relaxed geometry.

Calculated values
Uncorrected formation energy: -680 meV/atom
Magnetic moment: 0.0 μB/cell

Lattice parameters (Å, degrees): 4.1671 3.8709 10.5575 90.00 90.00 90.00
Fractional positions:
Er  0.5000  0.5000  0.3601
Er  0.0000  0.5000  0.8591
Er  0.0000  0.0000  0.1406
Er  0.5000  0.0000  0.6412
Cu  0.5000  0.5000  0.0690
Si  0.0000  0.5000  0.5770
Si  0.0000  0.0000  0.4278
Si  0.5000  0.0000  0.9253



## CsWI3 (PBE-GGA)

Data for crystalline CsWI3 at its relaxed geometry.

Calculated values
ΔE to the lowest computed polymorph: 1442 meV per atom
Uncorrected formation energy: 1327 meV/atom
Magnetic moment: 4.0 μB/cell

Lattice parameters (Å, degrees): 7.2055 7.2055 7.2055 90.00 90.00 90.00
Site moments in Bohr magnetons follow the coordinates.
Fractional positions:
Cs  0.0000  0.0000  0.0000  -0.01
I  0.0000  0.5000  0.0000  -0.30
I  0.0000  0.0000  0.5000  -0.30
I  0.5000  0.0000  0.0000  -0.19
W  0.5000  0.5000  0.5000  3.69



## Tl2BiRh2 (PBE-GGA)

Data for crystalline Tl2BiRh2 at its relaxed geometry.

Calculated values
ΔE_f: 0.08 eV per atom
ΔE to the lowest computed polymorph: 0 meV per atom
Magnetic moment: 0.0 μB/cell

Lattice parameters (Å, degrees): 7.9407 7.9407 3.3007 90.00 90.00 90.00
Fractional positions:
Tl  0.1519  0.6519  0.5000
Tl  0.6519  0.8481  0.5000
Tl  0.8481  0.3481  0.5000
Tl  0.3481  0.1519  0.5000
Rh  0.3550  0.8550  0.0000
Rh  0.8550  0.6450  0.0000
Rh  0.6450  0.1450  0.0000
Rh  0.1450  0.3550  0.0000
Bi  0.0000  0.0000  0.0000
Bi  0.5000  0.5000  0.0000



## K3U3Te8Pb (PBE-GGA)

Data for crystalline K3U3Te8Pb at its relaxed geometry.

Calculated values
Uncorrected formation energy: -778 meV/atom
Magnetic moment: 2.3 μB/cell

Lattice parameters (Å, degrees): 9.1074 9.0811 9.7416 117.79 90.08 119.90
Site moments in Bohr magnetons follow the coordinates.
Fractional positions:
K  0.0000  0.0000  0.0000  0.00
K  0.0000  0.5000  0.0000  0.00
K  0.5000  0.5000  0.0000  0.00
U  0.5000  0.0000  0.5000  2.40
U  0.5000  0.5000  0.5000  2.40
U  0.0000  0.5000  0.5000  -2.38
Te  0.2637  0.5264  0.2892  -0.02
Te  0.7363  0.4736  0.7108  -0.02
Te  0.7530  0.5063  0.2889  0.00
Te  0.2470  0.4937  0.7111  0.00
Te  0.7531  0.0356  0.2889  0.00
Te  0.2469  0.9644  0.7111  0.00
Te  0.2828  0.0363  0.2899  -0.06
Te  0.7172  0.9637  0.7101  -0.06
Pb  0.0000  0.0000  0.5000  0.00



## Li2MoPd9 (PBE-GGA)

Data for crystalline Li2MoPd9 at its relaxed geometry.

Calculated values
ΔE_f: -0.19 eV per atom
Magnetic moment: 0.0 μB/cell

Lattice parameters (Å, degrees): 3.9077 3.9077 11.7483 90.00 90.00 90.00
Fractional positions:
Li  0.0000  0.0000  0.3384
Li  0.0000  0.0000  0.6616
Mo  0.0000  0.0000  0.0000
Pd  0.5000  0.5000  0.0000
Pd  0.5000  0.5000  0.3323
Pd  0.5000  0.5000  0.6677
Pd  0.5000  0.0000  0.1639
Pd  0.5000  0.0000  0.5000
Pd  0.5000  0.0000  0.8361
Pd  0.0000  0.5000  0.1639
Pd  0.0000  0.5000  0.5000
Pd  0.0000  0.5000  0.8361



## Er2OsRu3 (PBE-GGA)

Data for crystalline Er2OsRu3 at its relaxed geometry.

Calculated values
ΔE_f: -0.35 eV per atom
Magnetic moment: 0.0 μB/cell

Lattice parameters (Å, degrees): 5.2870 5.2870 8.7569 90.00 90.00 120.00
Fractional positions:
Er  0.6667  0.3333  0.4344
Er  0.3333  0.6667  0.5656
Er  0.3333  0.6667  0.9344
Er  0.6667  0.3333  0.0656
Os  0.0000  0.0000  0.5000
Os  0.0000  0.0000  0.0000
Ru  0.1719  0.3438  0.2500
Ru  0.3438  0.1719  0.7500
Ru  0.8281  0.6562  0.7500
Ru  0.1719  0.8281  0.2500
Ru  0.8281  0.1719  0.7500
Ru  0.6562  0.8281  0.2500



## Zn2SnBr6 (PBE-GGA)

Data for crystalline Zn2SnBr6 at its relaxed geometry.

Calculated values
ΔE to the lowest computed polymorph: 0 meV per atom
Uncorrected formation energy: -820 meV/atom
Magnetic moment: 0.0 μB/cell

Lattice parameters (Å, degrees): 7.0860 9.3824 9.3824 85.68 81.60 81.60
Fractional positions:
Zn  0.1905  0.6167  0.7722
Zn  0.3095  0.2278  0.3833
Zn  0.8095  0.3833  0.2278
Zn  0.6905  0.7722  0.6167
Sn  0.2500  0.1210  0.8790
Sn  0.7500  0.8790  0.1210
Br  0.3865  0.7138  0.5587
Br  0.1135  0.4413  0.2862
Br  0.6135  0.2862  0.4413
Br  0.8865  0.5587  0.7138
Br  0.8787  0.8588  0.3950
Br  0.6213  0.6050  0.1412
Br  0.1213  0.1412  0.6050
Br  0.3787  0.3950  0.8588
Br  0.1498  0.7877  0.9634
Br  0.3502  0.0366  0.2123
Br  0.8502  0.2123  0.0366
Br  0.6498  0.9634  0.7877



## MnRe2Hg (PBE-GGA)

Data for crystalline MnRe2Hg at its relaxed geometry.

Calculated values
ΔE_f: 0.51 eV per atom
Magnetic moment: 1.8 μB/cell

Lattice parameters (Å, degrees): 4.9516 4.9516 4.7577 76.85 76.85 33.22
Site moments in Bohr magnetons follow the coordinates.
Fractional positions:
Hg  0.7500  0.7500  0.7500  -0.01
Mn  0.2500  0.2500  0.2500  2.24
Re  0.9818  0.9818  0.0236  -0.23
Re  0.5182  0.5182  0.4764  -0.23



## NdReTc2O8 (PBE-GGA)

Data for crystalline NdReTc2O8 at its relaxed geometry.

Calculated values
Uncorrected formation energy: -1761 meV/atom
Magnetic moment: 0.0 μB/cell

Lattice parameters (Å, degrees): 4.9166 4.9133 6.1614 90.00 90.00 88.57
Fractional positions:
Nd  0.0000  0.0000  0.5000
Re  0.0000  0.0000  0.0000
Tc  0.5001  0.5001  0.7724
Tc  0.4999  0.4999  0.2276
O  0.2146  0.7842  0.2078
O  0.7168  0.7181  0.0000
O  0.7854  0.2158  0.2078
O  0.7854  0.2158  0.7922
O  0.2832  0.2819  0.0000
O  0.2146  0.7842  0.7922
O  0.6658  0.6671  0.5000
O  0.3342  0.3329  0.5000



## BaAlW2 (PBE-GGA)

Data for crystalline BaAlW2 at its relaxed geometry.

Calculated values
ΔE_f: 0.70 eV per atom
Magnetic moment: 0.0 μB/cell

Lattice parameters (Å, degrees): 2.9871 2.9871 10.0505 90.00 90.00 110.55
Fractional positions:
Ba  0.5000  0.5000  0.7508
W  0.0000  0.0000  0.0492
W  0.5000  0.5000  0.2451
Al  0.0000  0.0000  0.4549



## Fe2PtRh (PBE-GGA)

Data for crystalline Fe2PtRh at its relaxed geometry.

Calculated values
ΔE_f: -0.12 eV per atom
Magnetic moment: 6.6 μB/cell

Lattice parameters (Å, degrees): 3.6820 2.7229 6.0839 63.76 90.00 90.00
Site moments in Bohr magnetons follow the coordinates.
Fractional positions:
Rh  0.5000  0.7500  0.7500  0.53
Fe  0.0000  0.0055  0.9940  2.88
Fe  0.0000  0.4945  0.5060  2.88
Pt  0.5000  0.2500  0.2500  0.32



## LaTbPmNd2 (PBE-GGA)

Data for crystalline LaTbPmNd2 at its relaxed geometry.

Calculated values
ΔE_f: 0.26 eV per atom
Magnetic moment: 0.0 μB/cell

Lattice parameters (Å, degrees): 6.6382 8.5370 6.3535 95.35 90.00 90.00
Fractional positions:
La  0.0000  0.0000  0.0000
La  0.0000  0.0000  0.5000
Tb  0.1643  0.5000  0.7500
Tb  0.8357  0.5000  0.2500
Pm  0.5655  0.0000  0.2500
Pm  0.4345  0.0000  0.7500
Nd  0.6885  0.6887  0.7814
Nd  0.6885  0.3113  0.7186
Nd  0.3115  0.6887  0.2814
Nd  0.3115  0.3113  0.2186



## Rb2MoAuBr6 (PBE-GGA)

Data for crystalline Rb2MoAuBr6 at its relaxed geometry.

Calculated values
Uncorrected formation energy: -847 meV/atom
Magnetic moment: 3.0 μB/cell

Lattice parameters (Å, degrees): 7.7172 7.7172 7.7328 60.07 60.07 90.00
Site moments in Bohr magnetons follow the coordinates.
Fractional positions:
Mo  0.5000  0.5000  0.0000  2.48
Au  0.0000  0.0000  0.0000  -0.02
Br  0.2602  0.2602  0.4795  0.02
Br  0.7398  0.7398  0.5205  0.02
Br  0.2591  0.2591  0.0000  0.01
Br  0.7409  0.7409  0.0000  0.01
Br  0.7409  0.2591  0.0000  0.01
Br  0.2591  0.7409  0.0000  0.01
Rb  0.7500  0.2500  0.5000  0.00
Rb  0.2500  0.7500  0.5000  0.00



## YAg2Rh (PBE-GGA)

Data for crystalline YAg2Rh at its relaxed geometry.

Calculated values
ΔE_f: 0.31 eV per atom
ΔE to the lowest computed polymorph: 703 meV per atom
Magnetic moment: 0.8 μB/cell

Lattice parameters (Å, degrees): 9.8916 9.8916 9.8916 17.67 17.67 17.67
Site moments in Bohr magnetons follow the coordinates.
Fractional positions:
Ag  0.9935  0.9935  0.9935  0.01
Ag  0.5065  0.5065  0.5065  0.01
Rh  0.2500  0.2500  0.2500  0.72
Y  0.7500  0.7500  0.7500  0.04



## ZrTaBr2 (PBE-GGA)

Data for crystalline ZrTaBr2 at its relaxed geometry.

Calculated values
ΔE to the lowest computed polymorph: 452 meV per atom
Uncorrected formation energy: -97 meV/atom
Magnetic moment: 0.0 μB/cell

Lattice parameters (Å, degrees): 9.5496 9.5496 9.5496 19.58 19.58 19.58
Fractional positions:
Br  0.9061  0.9061  0.9061
Br  0.0939  0.0939  0.0939
Zr  0.5000  0.5000  0.5000
Ta  0.0000  0.0000  0.0000



## La2TlPd5 (PBE-GGA)

Data for crystalline La2TlPd5 at its relaxed geometry.

Calculated values
ΔE_f: -0.63 eV per atom
Magnetic moment: 0.0 μB/cell

Lattice parameters (Å, degrees): 6.4957 6.4957 6.0942 122.20 122.20 90.00
Fractional positions:
La  0.2465  0.7464  0.4929
La  0.7464  0.2465  0.4929
Tl  0.1042  0.1042  0.2083
Pd  0.6970  0.2695  0.9665
Pd  0.2695  0.2695  0.9665
Pd  0.6970  0.6970  0.9665
Pd  0.2695  0.6970  0.9665
Pd  0.7469  0.7469  0.4938



## SrDyOs2O8 (PBE-GGA)

Data for crystalline SrDyOs2O8 at its relaxed geometry.

Calculated values
Uncorrected formation energy: -1654 meV/atom
Magnetic moment: 3.0 μB/cell

Lattice parameters (Å, degrees): 5.9272 5.9272 7.1725 90.00 90.00 120.00
Site moments in Bohr magnetons follow the coordinates.
Fractional positions:
Sr  0.0000  0.0000  0.0000  0.01
Dy  0.0000  0.0000  0.5000  0.03
Os  0.6667  0.3333  0.2104  0.86
Os  0.3333  0.6667  0.7896  0.86
O  0.3333  0.6667  0.0398  0.17
O  0.3245  0.1623  0.2893  0.10
O  0.8377  0.1622  0.2893  0.10
O  0.6667  0.3333  0.9602  0.17
O  0.1623  0.8378  0.7107  0.10
O  0.6755  0.8377  0.7107  0.10
O  0.1622  0.3245  0.7107  0.10
O  0.8378  0.6755  0.2893  0.10



## K2SrZn (PBE-GGA)

Data for crystalline K2SrZn at its relaxed geometry.

Calculated values
ΔE_f: 0.21 eV per atom
Magnetic moment: 0.0 μB/cell

Lattice parameters (Å, degrees): 6.3487 6.3487 6.3487 119.55 119.55 90.78
Fractional positions:
K  0.0000  0.0000  0.0000
K  0.2500  0.7500  0.5000
Sr  0.5000  0.5000  0.0000
Zn  0.7500  0.2500  0.5000



## ZnMo2As (PBE-GGA)

Data for crystalline ZnMo2As at its relaxed geometry.

Calculated values
ΔE_f: 0.18 eV per atom
ΔE to the lowest computed polymorph: 149 meV per atom
Magnetic moment: 0.0 μB/cell

Lattice parameters (Å, degrees): 8.7218 8.7218 8.7218 19.88 19.88 19.88
Fractional positions:
As  0.7431  0.7431  0.7431
Mo  0.9986  0.9986  0.9986
Mo  0.2549  0.2549  0.2549
Zn  0.5035  0.5035  0.5035



## Zr3AlRe (PBE-GGA)

Data for crystalline Zr3AlRe at its relaxed geometry.

Calculated values
ΔE_f: 0.58 eV per atom
ΔE to the lowest computed polymorph: 0 meV per atom
Magnetic moment: 0.0 μB/cell

Lattice parameters (Å, degrees): 5.0508 5.0508 5.0508 90.00 90.00 90.00
Fractional positions:
Re  0.0000  0.0000  0.0000
Al  0.5000  0.5000  0.5000
Zr  0.0000  0.5000  0.0000
Zr  0.0000  0.0000  0.5000
Zr  0.5000  0.0000  0.0000